# 1
MgInFe3, relaxed, DFT GGA-PBE; space-group type = Pm-3m; size of the total moment = 7.60 μB per cell; ΔE_f = 1.2854 eV/atom; V = 18.02 Å³ per atom; excess energy over the best structure of this formula in the dataset = 0 meV/atom
1.0
-3.195 -2.682 1.642
-1.197 -1.127 -4.170
2.908 -3.410 0.087
Fe In Mg
3 1 1
Cartesian
-0.598 -0.564 -2.085
1.454 -1.705 0.044
-1.597 -1.341 0.821
-0.742 -3.610 -1.221
0.000 0.000 0.000

# 2
MgIn2Fe, relaxed, DFT GGA-PBE; space-group type = Cm; size of the total moment = 1.92 μB per cell; ΔE_f = 0.1276 eV/atom; V = 21.12 Å³ per atom
1.0
-6.248 -0.959 -2.840
-4.489 -1.068 -5.170
-0.772 -4.442 -0.375
In Mg Fe
2 1 1
Cartesian
-2.942 -1.602 -2.146
-1.409 -4.288 -0.863
-5.077 -3.395 -3.674
-8.609 -4.857 -6.271